1.
Compound: MgZn2Sb
Source: the Alexandria database
Functional: GGA-PBE
Structure: optimized geometry

Cell lengths 4.167, 4.668, 8.546 Å; angles 90.00, 90.00, 90.00 degrees
Space group Cmmm (No. 65)
Inequivalent atoms, fractional coordinates:
Mg  0.000  0.000  0.000 x2
Zn  0.000  0.500  0.231 x4
Sb  0.000  0.000  0.500 x2

Values from the calculation:
total magnetization	0.00	μB/cell
energy	-1.967	eV per atom
V	20.8	Å³/atom
formation energy (no corrections)	10	kJ/mol of atoms


2.
Compound: SrCoCl2
Source: the Alexandria database
Functional: GGA-PBE
Structure: optimized geometry

Cell lengths 5.180, 5.192, 6.670 Å; angles 90.00, 90.00, 90.00 degrees
Space group Cmm2 (No. 35)
Inequivalent atoms, fractional coordinates:
Sr  0.000  0.000  0.000 x2
Co  0.000  0.500  0.635 x2
Cl  0.000  0.000  0.582 x2
Cl  0.000  0.500  0.231 x2

Values from the calculation:
total magnetization	2.48	μB/cell
offset from the most stable computed form	0.85	eV/f.u.
energy	-3.881	eV per atom
V	22.4	Å³/atom
formation energy (no corrections)	-73	kJ/mol of atoms